(1)
# RbOs2Ru | Alexandria | GGA-PBE | relaxed
data_RbOs2Ru
_cell_length_a 6.500
_cell_length_b 6.500
_cell_length_c 6.500
_cell_angle_alpha 90.00
_cell_angle_beta 90.00
_cell_angle_gamma 90.00
_space_group_name_H-M_alt 'F m -3 m'
_space_group_IT_number 225
_space_group_name_Hall '-F 4 2 3'
loop_
_atom_site_label
_atom_site_type_symbol
_atom_site_fract_x
_atom_site_fract_y
_atom_site_fract_z
Rb1 Rb 0.000 0.000 0.000
Os1 Os 0.250 0.250 0.250
Ru1 Ru 0.000 0.000 0.500
# - total magnetic moment (μB per formula unit) = 1.2
# - E above lowest polymorph (meV/atom) = 207
# - DOS(E_F) (states/eV per cell) = 16.82
# - formation energy from the elements (meV per atom) = 2092

---

(2)
# RbOs2Ru | Alexandria | GGA-PBE | relaxed
data_RbOs2Ru
_cell_length_a 7.591
_cell_length_b 7.591
_cell_length_c 5.793
_cell_angle_alpha 90.00
_cell_angle_beta 90.00
_cell_angle_gamma 90.00
_space_group_name_H-M_alt 'I -4 2 d'
_space_group_IT_number 122
_space_group_name_Hall 'I -4 2bw'
loop_
_atom_site_label
_atom_site_type_symbol
_atom_site_fract_x
_atom_site_fract_y
_atom_site_fract_z
Rb1 Rb 0.000 0.000 0.000
Os1 Os 0.181 0.250 0.625
Ru1 Ru 0.000 0.000 0.500
# - total magnetic moment (μB per formula unit) = 0.0
# - E above lowest polymorph (meV/atom) = 0
# - DOS(E_F) (states/eV per cell) = 20.56
# - formation energy from the elements (meV per atom) = 1885

---

(3)
# Rb2OsRu | Alexandria | GGA-PBE | relaxed
data_Rb2OsRu
_cell_length_a 7.828
_cell_length_b 7.828
_cell_length_c 7.828
_cell_angle_alpha 90.00
_cell_angle_beta 90.00
_cell_angle_gamma 90.00
_space_group_name_H-M_alt 'F m -3 m'
_space_group_IT_number 225
_space_group_name_Hall '-F 4 2 3'
loop_
_atom_site_label
_atom_site_type_symbol
_atom_site_fract_x
_atom_site_fract_y
_atom_site_fract_z
Rb1 Rb 0.250 0.250 0.250
Os1 Os 0.000 0.000 0.000
Ru1 Ru 0.000 0.000 0.500
# - total magnetic moment (μB per formula unit) = 4.8
# - E above lowest polymorph (meV/atom) = 1048
# - DOS(E_F) (states/eV per cell) = 27.90
# - formation energy from the elements (meV per atom) = 2459

---

(4)
# Rb3OsRu | Alexandria | GGA-PBE | relaxed
data_Rb3OsRu
_cell_length_a 6.395
_cell_length_b 6.395
_cell_length_c 6.395
_cell_angle_alpha 90.00
_cell_angle_beta 90.00
_cell_angle_gamma 90.00
_space_group_name_H-M_alt 'P m -3 m'
_space_group_IT_number 221
_space_group_name_Hall '-P 4 2 3'
loop_
_atom_site_label
_atom_site_type_symbol
_atom_site_fract_x
_atom_site_fract_y
_atom_site_fract_z
Rb1 Rb 0.000 0.000 0.500
Os1 Os 0.000 0.000 0.000
Ru1 Ru 0.500 0.500 0.500
# - total magnetic moment (μB per formula unit) = 5.0
# - DOS(E_F) (states/eV per cell) = 24.38
# - formation energy from the elements (meV per atom) = 2110

---

(5)
# RbOsRu2S | Alexandria | GGA-PBE | relaxed
data_RbOsRu2S
_cell_length_a 4.383
_cell_length_b 4.383
_cell_length_c 5.523
_cell_angle_alpha 90.00
_cell_angle_beta 90.00
_cell_angle_gamma 90.00
_space_group_name_H-M_alt 'P 4/m m m'
_space_group_IT_number 123
_space_group_name_Hall '-P 4 2'
loop_
_atom_site_label
_atom_site_type_symbol
_atom_site_fract_x
_atom_site_fract_y
_atom_site_fract_z
Rb1 Rb 0.000 0.000 0.000
Os1 Os 0.500 0.500 0.000
Ru1 Ru 0.000 0.500 0.500
S1 S 0.000 0.000 0.500
# - formation energy from raw total energies (eV/f.u.) = 8.13
# - total magnetic moment (μB per formula unit) = 3.8
# - DOS(E_F) (states/eV per cell) = 5.26

---

(6)
# Rb3OsS4 | Alexandria | GGA-PBE | relaxed
data_Rb3OsS4
_cell_length_a 7.949
_cell_length_b 7.949
_cell_length_c 7.812
_cell_angle_alpha 90.00
_cell_angle_beta 90.00
_cell_angle_gamma 90.00
_space_group_name_H-M_alt 'I 4/m m m'
_space_group_IT_number 139
_space_group_name_Hall '-I 4 2'
loop_
_atom_site_label
_atom_site_type_symbol
_atom_site_fract_x
_atom_site_fract_y
_atom_site_fract_z
Rb1 Rb 0.000 0.000 0.000
Rb2 Rb 0.000 0.500 0.250
Os1 Os 0.000 0.000 0.500
S1 S 0.202 0.202 0.500
# - formation energy from raw total energies (eV/f.u.) = -4.20
# - total magnetic moment (μB per formula unit) = 1.0
# - DOS(E_F) (states/eV per cell) = 10.72

---

(7)
# RbOsS4 | Alexandria | GGA-PBE | relaxed
data_RbOsS4
_cell_length_a 15.209
_cell_length_b 7.122
_cell_length_c 6.085
_cell_angle_alpha 90.00
_cell_angle_beta 100.66
_cell_angle_gamma 90.00
_space_group_name_H-M_alt 'C 1 2/m 1'
_space_group_IT_number 12
_space_group_name_Hall '-C 2y'
loop_
_atom_site_label
_atom_site_type_symbol
_atom_site_fract_x
_atom_site_fract_y
_atom_site_fract_z
Rb1 Rb 0.201 0.000 0.199
Os1 Os 0.026 0.500 0.242
S1 S 0.000 0.244 0.000
S2 S 0.072 0.304 0.573
S3 S 0.180 0.500 0.237
# - formation energy from raw total energies (eV/f.u.) = -0.96
# - total magnetic moment (μB per formula unit) = 0.0
# - DOS(E_F) (states/eV per cell) = 2.43

---

(8)
# Rb2OsS4 | Alexandria | GGA-PBE | relaxed
data_Rb2OsS4
_cell_length_a 7.177
_cell_length_b 7.025
_cell_length_c 9.851
_cell_angle_alpha 90.00
_cell_angle_beta 106.97
_cell_angle_gamma 90.00
_space_group_name_H-M_alt 'P 1 21/m 1'
_space_group_IT_number 11
_space_group_name_Hall '-P 2yb'
loop_
_atom_site_label
_atom_site_type_symbol
_atom_site_fract_x
_atom_site_fract_y
_atom_site_fract_z
Rb1 Rb 0.203 0.250 0.430
Rb2 Rb 0.281 0.250 0.968
Os1 Os 0.313 0.750 0.221
S1 S 0.096 0.750 0.338
S2 S 0.181 0.750 0.991
S3 S 0.499 0.001 0.722
# - formation energy from raw total energies (eV/f.u.) = -4.27
# - total magnetic moment (μB per formula unit) = 2.0
# - E above lowest polymorph (meV/atom) = 0
# - DOS(E_F) (states/eV per cell) = 3.56